## Ni2HgS (PBE)

Data for crystalline Ni2HgS at its relaxed geometry.

DOS at the Fermi energy in states/eV per atom: 0.89
Total magnetic moment in μB/f.u.: 0.00
Formation energy from raw total energies in eV/atom: 0.03

```
data_Ni2HgS
_chemical_formula_sum 'Ni2 Hg1 S1'
_space_group_name_H-M_alt 'P 1'
_space_group_IT_number 1
_cell_length_a 3.402
_cell_length_b 3.402
_cell_length_c 6.484
_cell_angle_alpha 74.79
_cell_angle_beta 74.79
_cell_angle_gamma 60.00
loop_
_space_group_symop_operation_xyz
'x,y,z'
loop_
_atom_site_label
_atom_site_type_symbol
_atom_site_fract_x
_atom_site_fract_y
_atom_site_fract_z
Ni1 Ni 0.275 0.275 0.175
Ni2 Ni 0.060 0.060 0.821
S1 S 0.668 0.668 0.997
Hg1 Hg 0.498 0.498 0.507
```